{
  "formula": "TlTc2As",
  "functional": "PBE",
  "state": "relaxed",
  "final_energy_ry_per_atom": -0.4844,
  "e_above_lowest_polymorph_mev_per_atom": 168.3,
  "sg": "P4/mmm (123)",
  "ef_mev_per_atom": 346,
  "lattice": [[3.114, 0.000, 0.000], [0.000, 3.114, 0.000], [0.000, 0.000, 6.903]],
  "species": ["Tl", "Tc", "Tc", "As"],
  "fractional_positions": [[0.000, 0.000, 0.000], [0.500, 0.500, 0.299], [0.500, 0.500, 0.701], [0.000, 0.000, 0.500]]
}

{
  "formula": "KSc2VMo",
  "functional": "PBE",
  "state": "relaxed",
  "final_energy_ry_per_atom": -0.4319,
  "sg": "P4/mmm (123)",
  "ef_mev_per_atom": 865,
  "lattice": [[5.349, 0.000, 0.000], [0.000, 5.349, 0.000], [0.000, 0.000, 4.488]],
  "species": ["K", "Sc", "Sc", "V", "Mo"],
  "fractional_positions": [[0.000, 0.000, 0.000], [0.000, 0.500, 0.500], [0.500, 0.000, 0.500], [0.500, 0.500, 0.500], [0.500, 0.500, 0.000]]
}

{
  "formula": "NaLiYTc2",
  "functional": "PBE",
  "state": "relaxed",
  "final_energy_ry_per_atom": -0.3105,
  "sg": "P4/mmm (123)",
  "ef_mev_per_atom": 1861,
  "lattice": [[4.827, 0.000, 0.000], [0.000, 4.827, 0.000], [0.000, 0.000, 5.122]],
  "species": ["Na", "Li", "Y", "Tc", "Tc"],
  "fractional_positions": [[0.000, 0.000, 0.000], [0.500, 0.500, 0.500], [0.000, 0.000, 0.500], [0.000, 0.500, 0.000], [0.500, 0.000, 0.000]]
}

{
  "formula": "AlGaBi2",
  "functional": "PBE",
  "state": "relaxed",
  "final_energy_ry_per_atom": -0.2633,
  "sg": "I-42d (122)",
  "ef_mev_per_atom": 51,
  "lattice": [[6.454, 0.000, 0.000], [0.000, 6.454, 0.000], [0.000, 0.000, 12.909]],
  "species": ["Al", "Al", "Al", "Al", "Ga", "Ga", "Ga", "Ga", "Bi", "Bi", "Bi", "Bi", "Bi", "Bi", "Bi", "Bi"],
  "fractional_positions": [[0.000, 0.000, 0.000], [0.000, 0.500, 0.250], [0.500, 0.000, 0.750], [0.500, 0.500, 0.500], [0.000, 0.000, 0.500], [0.000, 0.500, 0.750], [0.500, 0.000, 0.250], [0.500, 0.500, 0.000], [0.250, 0.250, 0.125], [0.250, 0.250, 0.625], [0.250, 0.750, 0.375], [0.250, 0.750, 0.875], [0.750, 0.250, 0.375], [0.750, 0.250, 0.875], [0.750, 0.750, 0.125], [0.750, 0.750, 0.625]]
}

{
  "formula": "TeAs",
  "functional": "PBE",
  "state": "relaxed",
  "final_energy_ry_per_atom": -0.2688,
  "sg": "P4/nmm (129)",
  "lattice": [[3.653, 0.000, 0.000], [0.000, 3.653, 0.000], [0.000, 0.000, 9.226]],
  "species": ["Te", "Te", "As", "As"],
  "fractional_positions": [[0.250, 0.250, 0.208], [0.750, 0.750, 0.792], [0.250, 0.250, 0.666], [0.750, 0.750, 0.334]]
}

{
  "formula": "In",
  "functional": "PBE",
  "state": "relaxed",
  "final_energy_ry_per_atom": -0.1957,
  "e_above_lowest_polymorph_mev_per_atom": 75.3,
  "sg": "I4_1/amd (141)",
  "ef_mev_per_atom": 75,
  "lattice": [[5.974, 0.000, 0.000], [0.000, 5.974, 0.000], [0.000, 0.000, 3.181]],
  "species": ["In", "In", "In", "In"],
  "fractional_positions": [[0.000, 0.250, 0.375], [0.000, 0.750, 0.625], [0.500, 0.250, 0.125], [0.500, 0.750, 0.875]]
}

{
  "formula": "YHf2ZrCu",
  "functional": "PBE",
  "state": "relaxed",
  "final_energy_ry_per_atom": -0.5421,
  "sg": "P4/mmm (123)",
  "ef_mev_per_atom": 428,
  "lattice": [[4.962, 0.000, 0.000], [0.000, 4.962, 0.000], [0.000, 0.000, 5.043]],
  "species": ["Y", "Hf", "Hf", "Zr", "Cu"],
  "fractional_positions": [[0.000, 0.000, 0.000], [0.000, 0.500, 0.500], [0.500, 0.000, 0.500], [0.500, 0.500, 0.000], [0.500, 0.500, 0.500]]
}

{
  "formula": "BePbBr2",
  "functional": "PBE",
  "state": "relaxed",
  "final_energy_ry_per_atom": -0.2167,
  "e_above_lowest_polymorph_mev_per_atom": 172.0,
  "sg": "Imm2 (44)",
  "lattice": [[3.429, 0.000, 0.000], [0.000, 5.630, 0.000], [0.000, 0.000, 13.800]],
  "species": ["Be", "Be", "Pb", "Pb", "Br", "Br", "Br", "Br"],
  "fractional_positions": [[0.000, 0.000, 0.000], [0.500, 0.500, 0.500], [0.000, 0.500, 0.335], [0.500, 0.000, 0.835], [0.000, 0.000, 0.407], [0.000, 0.500, 0.600], [0.500, 0.000, 0.100], [0.500, 0.500, 0.907]]
}

{
  "formula": "Cs3Dy3US8",
  "functional": "PBE",
  "state": "relaxed",
  "final_energy_ry_per_atom": -0.4271,
  "sg": "R-3m (166)",
  "lattice": [[4.060, 2.344, 8.205], [-4.060, 2.344, 8.205], [0.000, -4.688, 8.205]],
  "species": ["Cs", "Cs", "Cs", "Dy", "Dy", "Dy", "U", "S", "S", "S", "S", "S", "S", "S", "S"],
  "fractional_positions": [[0.000, 0.500, 0.500], [0.500, 0.000, 0.500], [0.500, 0.500, 0.000], [0.000, 0.000, 0.500], [0.000, 0.500, 0.000], [0.500, 0.000, 0.000], [0.500, 0.500, 0.500], [0.226, 0.226, 0.226], [0.231, 0.723, 0.723], [0.277, 0.277, 0.769], [0.277, 0.769, 0.277], [0.723, 0.231, 0.723], [0.723, 0.723, 0.231], [0.769, 0.277, 0.277], [0.774, 0.774, 0.774]]
}

{
  "formula": "MgReI2O",
  "functional": "PBE",
  "state": "relaxed",
  "final_energy_ry_per_atom": -0.3385,
  "e_above_lowest_polymorph_mev_per_atom": 0.0,
  "sg": "P4/mmm (123)",
  "lattice": [[5.647, 0.000, 0.000], [0.000, 5.647, 0.000], [0.000, 0.000, 3.789]],
  "species": ["Mg", "Re", "I", "I", "O"],
  "fractional_positions": [[0.000, 0.000, 0.000], [0.500, 0.500, 0.500], [0.000, 0.500, 0.500], [0.500, 0.000, 0.500], [0.500, 0.500, 0.000]]
}

{
  "formula": "Tl3Ag3PbI8",
  "functional": "PBE",
  "state": "relaxed",
  "final_energy_ry_per_atom": -0.1888,
  "sg": "C2/m (12)",
  "lattice": [[7.910, -4.550, 0.000], [7.910, 4.550, 0.000], [-5.249, 0.000, 7.983]],
  "species": ["Tl", "Tl", "Tl", "Ag", "Ag", "Ag", "Pb", "I", "I", "I", "I", "I", "I", "I", "I"],
  "fractional_positions": [[0.000, 0.000, 0.000], [0.000, 0.500, 0.000], [0.500, 0.000, 0.000], [0.000, 0.500, 0.500], [0.500, 0.000, 0.500], [0.500, 0.500, 0.500], [0.000, 0.000, 0.500], [0.247, 0.247, 0.717], [0.249, 0.724, 0.719], [0.264, 0.264, 0.293], [0.276, 0.751, 0.281], [0.724, 0.249, 0.719], [0.736, 0.736, 0.707], [0.751, 0.276, 0.281], [0.753, 0.753, 0.283]]
}

{
  "formula": "RbIrOs",
  "functional": "PBE",
  "state": "relaxed",
  "final_energy_ry_per_atom": -0.4761,
  "e_above_lowest_polymorph_mev_per_atom": 2.0,
  "sg": "Pm (6)",
  "ef_mev_per_atom": 541,
  "lattice": [[5.271, 0.000, 0.000], [0.000, 4.144, 0.000], [-1.117, 0.000, 6.937]],
  "species": ["Rb", "Rb", "Ir", "Ir", "Os", "Os"],
  "fractional_positions": [[0.000, 0.000, 0.000], [0.473, 0.500, 0.851], [0.137, 0.000, 0.485], [0.860, 0.500, 0.369], [0.364, 0.500, 0.365], [0.629, 0.000, 0.472]]
}

{
  "formula": "MgScAgBr6",
  "functional": "PBE",
  "state": "relaxed",
  "final_energy_ry_per_atom": -0.2651,
  "sg": "P-31c (163)",
  "lattice": [[6.815, 0.000, 0.000], [-3.407, 5.902, 0.000], [0.000, 0.000, 12.815]],
  "species": ["Mg", "Mg", "Sc", "Sc", "Ag", "Ag", "Br", "Br", "Br", "Br", "Br", "Br", "Br", "Br", "Br", "Br", "Br", "Br"],
  "fractional_positions": [[0.333, 0.667, 0.250], [0.667, 0.333, 0.750], [0.333, 0.667, 0.750], [0.667, 0.333, 0.250], [0.000, 0.000, 0.000], [0.000, 0.000, 0.500], [0.002, 0.355, 0.631], [0.002, 0.647, 0.869], [0.353, 0.355, 0.869], [0.353, 0.998, 0.631], [0.355, 0.002, 0.131], [0.355, 0.353, 0.369], [0.645, 0.647, 0.631], [0.645, 0.998, 0.869], [0.647, 0.002, 0.369], [0.647, 0.645, 0.131], [0.998, 0.353, 0.131], [0.998, 0.645, 0.369]]
}

{
  "formula": "YSbP3",
  "functional": "PBE",
  "state": "relaxed",
  "final_energy_ry_per_atom": -0.3408,
  "e_above_lowest_polymorph_mev_per_atom": 316.3,
  "sg": "Pm-3m (221)",
  "lattice": [[5.213, 0.000, 0.000], [0.000, 5.213, 0.000], [0.000, 0.000, 5.213]],
  "species": ["Y", "Sb", "P", "P", "P"],
  "fractional_positions": [[0.000, 0.000, 0.000], [0.500, 0.500, 0.500], [0.000, 0.000, 0.500], [0.000, 0.500, 0.000], [0.500, 0.000, 0.000]]
}

{
  "formula": "CsPmP2Pt4",
  "functional": "PBE",
  "state": "relaxed",
  "final_energy_ry_per_atom": -0.4260,
  "sg": "P4/mmm (123)",
  "ef_mev_per_atom": -723,
  "lattice": [[4.058, 0.000, 0.000], [0.000, 4.058, 0.000], [0.000, 0.000, 11.540]],
  "species": ["Cs", "Pm", "P", "P", "Pt", "Pt", "Pt", "Pt"],
  "fractional_positions": [[0.000, 0.000, 0.000], [0.000, 0.000, 0.500], [0.500, 0.500, 0.204], [0.500, 0.500, 0.796], [0.000, 0.500, 0.306], [0.000, 0.500, 0.694], [0.500, 0.000, 0.306], [0.500, 0.000, 0.694]]
}

{
  "formula": "UFe2Ir",
  "functional": "PBE",
  "state": "relaxed",
  "final_energy_ry_per_atom": -0.6410,
  "e_above_lowest_polymorph_mev_per_atom": 819.7,
  "sg": "R-3m (166)",
  "ef_mev_per_atom": 547,
  "lattice": [[2.717, 0.000, 0.000], [-1.358, 2.353, 0.000], [0.000, 0.000, 29.842]],
  "species": ["U", "U", "U", "Fe", "Fe", "Fe", "Fe", "Fe", "Fe", "Ir", "Ir", "Ir"],
  "fractional_positions": [[0.000, 0.000, 0.000], [0.333, 0.667, 0.667], [0.667, 0.333, 0.333], [0.000, 0.000, 0.419], [0.000, 0.000, 0.581], [0.333, 0.667, 0.086], [0.333, 0.667, 0.247], [0.667, 0.333, 0.753], [0.667, 0.333, 0.914], [0.000, 0.000, 0.500], [0.333, 0.667, 0.167], [0.667, 0.333, 0.833]]
}

{
  "formula": "U2Co4SnGe3",
  "functional": "PBE",
  "state": "relaxed",
  "final_energy_ry_per_atom": -0.5243,
  "sg": "P-4m2 (115)",
  "ef_mev_per_atom": -248,
  "lattice": [[3.952, 0.000, 0.000], [0.000, 3.952, 0.000], [0.000, 0.000, 10.351]],
  "species": ["U", "U", "Co", "Co", "Co", "Co", "Sn", "Ge", "Ge", "Ge"],
  "fractional_positions": [[0.000, 0.500, 0.238], [0.500, 0.000, 0.762], [0.000, 0.000, 0.000], [0.000, 0.500, 0.655], [0.500, 0.000, 0.345], [0.500, 0.500, 0.000], [0.000, 0.000, 0.500], [0.000, 0.500, 0.876], [0.500, 0.000, 0.124], [0.500, 0.500, 0.500]]
}

{
  "formula": "PuNbRu",
  "functional": "PBE",
  "state": "relaxed",
  "final_energy_ry_per_atom": -0.8050,
  "e_above_lowest_polymorph_mev_per_atom": 224.3,
  "sg": "Immm (71)",
  "ef_mev_per_atom": 274,
  "lattice": [[4.546, 0.000, 0.000], [0.000, 5.784, 0.000], [0.000, 0.000, 8.180]],
  "species": ["Pu", "Pu", "Pu", "Pu", "Nb", "Nb", "Nb", "Nb", "Ru", "Ru", "Ru", "Ru"],
  "fractional_positions": [[0.000, 0.000, 0.161], [0.000, 0.000, 0.839], [0.500, 0.500, 0.339], [0.500, 0.500, 0.661], [0.000, 0.500, 0.169], [0.000, 0.500, 0.831], [0.500, 0.000, 0.331], [0.500, 0.000, 0.669], [0.000, 0.243, 0.500], [0.000, 0.757, 0.500], [0.500, 0.257, 0.000], [0.500, 0.743, 0.000]]
}

{
  "formula": "MgCr",
  "functional": "PBE",
  "state": "relaxed",
  "final_energy_ry_per_atom": -0.3573,
  "e_above_lowest_polymorph_mev_per_atom": 502.7,
  "sg": "P6_3/mmc (194)",
  "ef_mev_per_atom": 748,
  "lattice": [[4.827, 0.000, 0.000], [-2.414, 4.180, 0.000], [0.000, 0.000, 6.992]],
  "species": ["Mg", "Mg", "Mg", "Mg", "Cr", "Cr", "Cr", "Cr"],
  "fractional_positions": [[0.000, 0.000, 0.250], [0.000, 0.000, 0.750], [0.333, 0.667, 0.250], [0.667, 0.333, 0.750], [0.333, 0.667, 0.618], [0.333, 0.667, 0.882], [0.667, 0.333, 0.118], [0.667, 0.333, 0.382]]
}

{
  "formula": "NaPuGa2O8",
  "functional": "PBE",
  "state": "relaxed",
  "final_energy_ry_per_atom": -0.4788,
  "sg": "I-4m2 (119)",
  "lattice": [[-3.461, 3.461, 3.329], [3.461, -3.461, 3.329], [3.461, 3.461, -3.329]],
  "species": ["Na", "Pu", "Ga", "Ga", "O", "O", "O", "O", "O", "O", "O", "O"],
  "fractional_positions": [[0.000, 0.000, 0.000], [0.250, 0.750, 0.500], [0.500, 0.500, 0.000], [0.750, 0.250, 0.500], [0.324, 0.114, 0.790], [0.324, 0.533, 0.210], [0.367, 0.040, 0.326], [0.467, 0.676, 0.790], [0.714, 0.040, 0.674], [0.886, 0.676, 0.210], [0.960, 0.286, 0.326], [0.960, 0.633, 0.674]]
}